## P
{"formula": "La2BeTe", "functional": "PBE", "state": "optimized geometry", "crystal_system": "cubic", "space_group": "Fm-3m", "n_ef_per_ev_cell": 26.01, "lattice_angstrom": [[7.627, 0.000, 0.000], [0.000, 7.627, 0.000], [0.000, 0.000, 7.627]], "species": ["La", "La", "La", "La", "La", "La", "La", "La", "Be", "Be", "Be", "Be", "Te", "Te", "Te", "Te"], "frac_coords": [[0.250, 0.250, 0.250], [0.250, 0.250, 0.750], [0.250, 0.750, 0.250], [0.250, 0.750, 0.750], [0.750, 0.250, 0.250], [0.750, 0.250, 0.750], [0.750, 0.750, 0.250], [0.750, 0.750, 0.750], [0.000, 0.000, 0.000], [0.000, 0.500, 0.500], [0.500, 0.000, 0.500], [0.500, 0.500, 0.000], [0.000, 0.000, 0.500], [0.000, 0.500, 0.000], [0.500, 0.000, 0.000], [0.500, 0.500, 0.500]]}

=====

## Q
{"formula": "La2BeTe", "functional": "PBE", "state": "optimized geometry", "crystal_system": "tetragonal", "space_group": "P4mm", "n_ef_per_ev_cell": 3.09, "lattice_angstrom": [[3.631, 0.000, 0.000], [0.000, 3.631, 0.000], [0.000, 0.000, 8.595]], "species": ["La", "La", "Be", "Te"], "frac_coords": [[0.000, 0.000, 0.000], [0.500, 0.500, 0.381], [0.500, 0.500, 0.762], [0.000, 0.000, 0.632]]}

=====

Going by the computed energies, the most stable comes first: P, Q.

=====

## P
{"formula": "La2BeTe2", "functional": "PBE", "state": "optimized geometry", "crystal_system": "tetragonal", "space_group": "I4/mmm", "n_ef_per_ev_cell": 9.73, "lattice_angstrom": [[6.319, 0.000, 0.000], [0.000, 6.319, 0.000], [0.000, 0.000, 8.214]], "species": ["La", "La", "La", "La", "Be", "Be", "Te", "Te", "Te", "Te"], "frac_coords": [[0.000, 0.500, 0.250], [0.000, 0.500, 0.750], [0.500, 0.000, 0.250], [0.500, 0.000, 0.750], [0.000, 0.000, 0.000], [0.500, 0.500, 0.500], [0.000, 0.000, 0.287], [0.000, 0.000, 0.713], [0.500, 0.500, 0.213], [0.500, 0.500, 0.787]]}

=====

## Q
{"formula": "La2BeTe2", "functional": "PBE", "state": "optimized geometry", "crystal_system": "tetragonal", "space_group": "P4/mbm", "n_ef_per_ev_cell": 5.10, "lattice_angstrom": [[8.392, 0.000, 0.000], [0.000, 8.392, 0.000], [0.000, 0.000, 4.249]], "species": ["La", "La", "La", "La", "Be", "Be", "Te", "Te", "Te", "Te"], "frac_coords": [[0.157, 0.343, 0.000], [0.343, 0.843, 0.000], [0.657, 0.157, 0.000], [0.843, 0.657, 0.000], [0.000, 0.000, 0.500], [0.500, 0.500, 0.500], [0.147, 0.647, 0.500], [0.353, 0.147, 0.500], [0.647, 0.853, 0.500], [0.853, 0.353, 0.500]]}

=====

Going by the computed energies, the most stable comes first: Q, P.

=====

## P
{"formula": "LaBe3Te", "functional": "PBE", "state": "optimized geometry", "crystal_system": "cubic", "space_group": "Pm-3m", "n_ef_per_ev_cell": 3.17, "lattice_angstrom": [[4.747, 0.000, 0.000], [0.000, 4.747, 0.000], [0.000, 0.000, 4.747]], "species": ["La", "Be", "Be", "Be", "Te"], "frac_coords": [[0.000, 0.000, 0.000], [0.000, 0.500, 0.500], [0.500, 0.000, 0.500], [0.500, 0.500, 0.000], [0.500, 0.500, 0.500]]}

=====

## Q
{"formula": "LaBe3Te", "functional": "PBE", "state": "optimized geometry", "crystal_system": "cubic", "space_group": "Pm-3m", "n_ef_per_ev_cell": 2.03, "lattice_angstrom": [[5.115, 0.000, 0.000], [0.000, 5.115, 0.000], [0.000, 0.000, 5.115]], "species": ["La", "Be", "Be", "Be", "Te"], "frac_coords": [[0.000, 0.000, 0.000], [0.000, 0.000, 0.500], [0.000, 0.500, 0.000], [0.500, 0.000, 0.000], [0.500, 0.500, 0.500]]}

=====

Going by the computed energies, the most stable comes first: P, Q.

=====

## P
{"formula": "LaTiBe3", "functional": "PBE", "state": "optimized geometry", "crystal_system": "cubic", "space_group": "Pm-3m", "n_ef_per_ev_cell": 4.24, "lattice_angstrom": [[4.592, 0.000, 0.000], [0.000, 4.592, 0.000], [0.000, 0.000, 4.592]], "species": ["La", "Ti", "Be", "Be", "Be"], "frac_coords": [[0.000, 0.000, 0.000], [0.500, 0.500, 0.500], [0.000, 0.500, 0.500], [0.500, 0.000, 0.500], [0.500, 0.500, 0.000]]}

=====

## Q
{"formula": "LaTiBe3", "functional": "PBE", "state": "optimized geometry", "crystal_system": "cubic", "space_group": "Pm-3m", "n_ef_per_ev_cell": 4.18, "lattice_angstrom": [[4.749, 0.000, 0.000], [0.000, 4.749, 0.000], [0.000, 0.000, 4.749]], "species": ["La", "Ti", "Be", "Be", "Be"], "frac_coords": [[0.000, 0.000, 0.000], [0.500, 0.500, 0.500], [0.000, 0.000, 0.500], [0.000, 0.500, 0.000], [0.500, 0.000, 0.000]]}

=====

Going by the computed energies, the most stable comes first: P, Q.

=====

## P
{"formula": "LaBeTl3", "functional": "PBE", "state": "optimized geometry", "crystal_system": "cubic", "space_group": "Pm-3m", "n_ef_per_ev_cell": 3.01, "lattice_angstrom": [[5.064, 0.000, 0.000], [0.000, 5.064, 0.000], [0.000, 0.000, 5.064]], "species": ["La", "Be", "Tl", "Tl", "Tl"], "frac_coords": [[0.000, 0.000, 0.000], [0.500, 0.500, 0.500], [0.000, 0.500, 0.500], [0.500, 0.000, 0.500], [0.500, 0.500, 0.000]]}

=====

## Q
{"formula": "LaBeTl3", "functional": "PBE", "state": "optimized geometry", "crystal_system": "cubic", "space_group": "Pm-3m", "n_ef_per_ev_cell": 9.36, "lattice_angstrom": [[6.273, 0.000, 0.000], [0.000, 6.273, 0.000], [0.000, 0.000, 6.273]], "species": ["La", "Be", "Tl", "Tl", "Tl"], "frac_coords": [[0.000, 0.000, 0.000], [0.500, 0.500, 0.500], [0.000, 0.000, 0.500], [0.000, 0.500, 0.000], [0.500, 0.000, 0.000]]}

=====

Going by the computed energies, the most stable comes first: P, Q.

=====

## P
{"formula": "LaBeTl", "functional": "PBE", "state": "optimized geometry", "crystal_system": "tetragonal", "space_group": "I4_1md", "n_ef_per_ev_cell": 9.47, "lattice_angstrom": [[4.388, 0.000, 0.000], [0.000, 4.388, 0.000], [0.000, 0.000, 15.458]], "species": ["La", "La", "La", "La", "Be", "Be", "Be", "Be", "Tl", "Tl", "Tl", "Tl"], "frac_coords": [[0.000, 0.000, 0.000], [0.000, 0.500, 0.250], [0.500, 0.000, 0.750], [0.500, 0.500, 0.500], [0.000, 0.000, 0.418], [0.000, 0.500, 0.668], [0.500, 0.000, 0.168], [0.500, 0.500, 0.918], [0.000, 0.000, 0.585], [0.000, 0.500, 0.835], [0.500, 0.000, 0.335], [0.500, 0.500, 0.085]]}

=====

## Q
{"formula": "LaBeTl", "functional": "PBE", "state": "optimized geometry", "crystal_system": "cubic", "space_group": "F-43m", "n_ef_per_ev_cell": 4.25, "lattice_angstrom": [[6.701, 0.000, 0.000], [0.000, 6.701, 0.000], [0.000, 0.000, 6.701]], "species": ["La", "La", "La", "La", "Be", "Be", "Be", "Be", "Tl", "Tl", "Tl", "Tl"], "frac_coords": [[0.000, 0.000, 0.000], [0.000, 0.500, 0.500], [0.500, 0.000, 0.500], [0.500, 0.500, 0.000], [0.250, 0.250, 0.250], [0.250, 0.750, 0.750], [0.750, 0.250, 0.750], [0.750, 0.750, 0.250], [0.000, 0.000, 0.500], [0.000, 0.500, 0.000], [0.500, 0.000, 0.000], [0.500, 0.500, 0.500]]}

=====

Going by the computed energies, the most stable comes first: Q, P.

=====

## P
{"formula": "LaBeV3", "functional": "PBE", "state": "optimized geometry", "crystal_system": "cubic", "space_group": "Pm-3m", "n_ef_per_ev_cell": 9.28, "lattice_angstrom": [[4.460, 0.000, 0.000], [0.000, 4.460, 0.000], [0.000, 0.000, 4.460]], "species": ["La", "Be", "V", "V", "V"], "frac_coords": [[0.000, 0.000, 0.000], [0.500, 0.500, 0.500], [0.000, 0.500, 0.500], [0.500, 0.000, 0.500], [0.500, 0.500, 0.000]]}

=====

## Q
{"formula": "LaBeV3", "functional": "PBE", "state": "optimized geometry", "crystal_system": "cubic", "space_group": "Pm-3m", "n_ef_per_ev_cell": 3.80, "lattice_angstrom": [[4.505, 0.000, 0.000], [0.000, 4.505, 0.000], [0.000, 0.000, 4.505]], "species": ["La", "Be", "V", "V", "V"], "frac_coords": [[0.000, 0.000, 0.000], [0.500, 0.500, 0.500], [0.000, 0.000, 0.500], [0.000, 0.500, 0.000], [0.500, 0.000, 0.000]]}

=====

Going by the computed energies, the most stable comes first: P, Q.

=====

## P
{"formula": "LaBe2W", "functional": "PBE", "state": "optimized geometry", "crystal_system": "cubic", "space_group": "F-43m", "n_ef_per_ev_cell": 17.28, "lattice_angstrom": [[6.398, 0.000, 0.000], [0.000, 6.398, 0.000], [0.000, 0.000, 6.398]], "species": ["La", "La", "La", "La", "Be", "Be", "Be", "Be", "Be", "Be", "Be", "Be", "W", "W", "W", "W"], "frac_coords": [[0.000, 0.000, 0.000], [0.000, 0.500, 0.500], [0.500, 0.000, 0.500], [0.500, 0.500, 0.000], [0.000, 0.000, 0.500], [0.000, 0.500, 0.000], [0.250, 0.250, 0.250], [0.250, 0.750, 0.750], [0.500, 0.000, 0.000], [0.500, 0.500, 0.500], [0.750, 0.250, 0.750], [0.750, 0.750, 0.250], [0.250, 0.250, 0.750], [0.250, 0.750, 0.250], [0.750, 0.250, 0.250], [0.750, 0.750, 0.750]]}

=====

## Q
{"formula": "LaBe2W", "functional": "PBE", "state": "optimized geometry", "crystal_system": "cubic", "space_group": "Fm-3m", "n_ef_per_ev_cell": 9.12, "lattice_angstrom": [[6.457, 0.000, 0.000], [0.000, 6.457, 0.000], [0.000, 0.000, 6.457]], "species": ["La", "La", "La", "La", "Be", "Be", "Be", "Be", "Be", "Be", "Be", "Be", "W", "W", "W", "W"], "frac_coords": [[0.000, 0.000, 0.000], [0.000, 0.500, 0.500], [0.500, 0.000, 0.500], [0.500, 0.500, 0.000], [0.250, 0.250, 0.250], [0.250, 0.250, 0.750], [0.250, 0.750, 0.250], [0.250, 0.750, 0.750], [0.750, 0.250, 0.250], [0.750, 0.250, 0.750], [0.750, 0.750, 0.250], [0.750, 0.750, 0.750], [0.000, 0.000, 0.500], [0.000, 0.500, 0.000], [0.500, 0.000, 0.000], [0.500, 0.500, 0.500]]}

=====

## R
{"formula": "LaBe2W", "functional": "PBE", "state": "optimized geometry", "crystal_system": "monoclinic", "space_group": "Pm", "n_ef_per_ev_cell": 3.42, "lattice_angstrom": [[3.403, 0.000, 0.000], [0.000, 3.492, 0.000], [-1.693, 0.000, 5.748]], "species": ["La", "Be", "Be", "W"], "frac_coords": [[0.000, 0.000, 0.000], [0.252, 0.000, 0.506], [0.350, 0.500, 0.702], [0.712, 0.500, 0.425]]}

=====

## S
{"formula": "LaBe2W", "functional": "PBE", "state": "optimized geometry", "crystal_system": "trigonal", "space_group": "R-3m", "n_ef_per_ev_cell": 9.84, "lattice_angstrom": [[2.952, 0.000, 0.000], [-1.476, 2.556, 0.000], [0.000, 0.000, 26.842]], "species": ["La", "La", "La", "Be", "Be", "Be", "Be", "Be", "Be", "W", "W", "W"], "frac_coords": [[0.000, 0.000, 0.000], [0.333, 0.667, 0.667], [0.667, 0.333, 0.333], [0.000, 0.000, 0.236], [0.000, 0.000, 0.764], [0.333, 0.667, 0.431], [0.333, 0.667, 0.903], [0.667, 0.333, 0.097], [0.667, 0.333, 0.569], [0.000, 0.000, 0.500], [0.333, 0.667, 0.167], [0.667, 0.333, 0.833]]}

=====

Going by the computed energies, the most stable comes first: R, Q, S, P.

=====

## P
{"formula": "LaBe2W", "functional": "PBE", "state": "optimized geometry", "crystal_system": "orthorhombic", "space_group": "Imm2", "n_ef_per_ev_cell": 6.75, "lattice_angstrom": [[2.775, 0.000, 0.000], [0.000, 5.000, 0.000], [0.000, 0.000, 9.384]], "species": ["La", "La", "Be", "Be", "Be", "Be", "W", "W"], "frac_coords": [[0.000, 0.000, 0.000], [0.500, 0.500, 0.500], [0.000, 0.000, 0.519], [0.000, 0.500, 0.215], [0.500, 0.000, 0.715], [0.500, 0.500, 0.019], [0.000, 0.500, 0.789], [0.500, 0.000, 0.289]]}

=====

## Q
{"formula": "LaBe2W", "functional": "PBE", "state": "optimized geometry", "crystal_system": "tetragonal", "space_group": "P4/mmm", "n_ef_per_ev_cell": 3.49, "lattice_angstrom": [[2.870, 0.000, 0.000], [0.000, 2.870, 0.000], [0.000, 0.000, 7.710]], "species": ["La", "Be", "Be", "W"], "frac_coords": [[0.000, 0.000, 0.000], [0.500, 0.500, 0.298], [0.500, 0.500, 0.702], [0.000, 0.000, 0.500]]}

=====

Going by the computed energies, the most stable comes first: Q, P.

=====

## P
{"formula": "LaBe2W2", "functional": "PBE", "state": "optimized geometry", "crystal_system": "tetragonal", "space_group": "P4/mbm", "n_ef_per_ev_cell": 7.37, "lattice_angstrom": [[7.698, 0.000, 0.000], [0.000, 7.698, 0.000], [0.000, 0.000, 2.736]], "species": ["La", "La", "Be", "Be", "Be", "Be", "W", "W", "W", "W"], "frac_coords": [[0.000, 0.000, 0.000], [0.500, 0.500, 0.000], [0.168, 0.332, 0.500], [0.332, 0.832, 0.500], [0.668, 0.168, 0.500], [0.832, 0.668, 0.500], [0.119, 0.619, 0.000], [0.381, 0.119, 0.000], [0.619, 0.881, 0.000], [0.881, 0.381, 0.000]]}

=====

## Q
{"formula": "LaBe2W2", "functional": "PBE", "state": "optimized geometry", "crystal_system": "tetragonal", "space_group": "I4/mmm", "n_ef_per_ev_cell": 7.35, "lattice_angstrom": [[4.417, 0.000, 0.000], [0.000, 4.417, 0.000], [0.000, 0.000, 8.889]], "species": ["La", "La", "Be", "Be", "Be", "Be", "W", "W", "W", "W"], "frac_coords": [[0.000, 0.000, 0.000], [0.500, 0.500, 0.500], [0.000, 0.500, 0.250], [0.000, 0.500, 0.750], [0.500, 0.000, 0.250], [0.500, 0.000, 0.750], [0.000, 0.000, 0.355], [0.000, 0.000, 0.645], [0.500, 0.500, 0.145], [0.500, 0.500, 0.855]]}

=====

Going by the computed energies, the most stable comes first: P, Q.

=====

## P
{"formula": "La3YBe", "functional": "PBE", "state": "optimized geometry", "crystal_system": "cubic", "space_group": "Pm-3m", "n_ef_per_ev_cell": 6.02, "lattice_angstrom": [[5.793, 0.000, 0.000], [0.000, 5.793, 0.000], [0.000, 0.000, 5.793]], "species": ["La", "La", "La", "Y", "Be"], "frac_coords": [[0.000, 0.000, 0.500], [0.000, 0.500, 0.000], [0.500, 0.000, 0.000], [0.000, 0.000, 0.000], [0.500, 0.500, 0.500]]}

=====

## Q
{"formula": "La3YBe", "functional": "PBE", "state": "optimized geometry", "crystal_system": "cubic", "space_group": "Pm-3m", "n_ef_per_ev_cell": 9.64, "lattice_angstrom": [[5.573, 0.000, 0.000], [0.000, 5.573, 0.000], [0.000, 0.000, 5.573]], "species": ["La", "La", "La", "Y", "Be"], "frac_coords": [[0.000, 0.000, 0.500], [0.000, 0.500, 0.000], [0.500, 0.000, 0.000], [0.500, 0.500, 0.500], [0.000, 0.000, 0.000]]}

=====

Going by the computed energies, the most stable comes first: Q, P.

=====

## P
{"formula": "LaBe3Zn", "functional": "PBE", "state": "optimized geometry", "crystal_system": "cubic", "space_group": "Pm-3m", "n_ef_per_ev_cell": 2.87, "lattice_angstrom": [[4.357, 0.000, 0.000], [0.000, 4.357, 0.000], [0.000, 0.000, 4.357]], "species": ["La", "Be", "Be", "Be", "Zn"], "frac_coords": [[0.000, 0.000, 0.000], [0.000, 0.500, 0.500], [0.500, 0.000, 0.500], [0.500, 0.500, 0.000], [0.500, 0.500, 0.500]]}

=====

## Q
{"formula": "LaBe3Zn", "functional": "PBE", "state": "optimized geometry", "crystal_system": "cubic", "space_group": "Pm-3m", "n_ef_per_ev_cell": 5.33, "lattice_angstrom": [[5.280, 0.000, 0.000], [0.000, 5.280, 0.000], [0.000, 0.000, 5.280]], "species": ["La", "Be", "Be", "Be", "Zn"], "frac_coords": [[0.000, 0.000, 0.000], [0.000, 0.000, 0.500], [0.000, 0.500, 0.000], [0.500, 0.000, 0.000], [0.500, 0.500, 0.500]]}

=====

Going by the computed energies, the most stable comes first: P, Q.

=====

## P
{"formula": "LaZrBe", "functional": "PBE", "state": "optimized geometry", "crystal_system": "cubic", "space_group": "F-43m", "n_ef_per_ev_cell": 17.68, "lattice_angstrom": [[6.630, 0.000, 0.000], [0.000, 6.630, 0.000], [0.000, 0.000, 6.630]], "species": ["La", "La", "La", "La", "Zr", "Zr", "Zr", "Zr", "Be", "Be", "Be", "Be"], "frac_coords": [[0.000, 0.000, 0.000], [0.000, 0.500, 0.500], [0.500, 0.000, 0.500], [0.500, 0.500, 0.000], [0.000, 0.000, 0.500], [0.000, 0.500, 0.000], [0.500, 0.000, 0.000], [0.500, 0.500, 0.500], [0.250, 0.250, 0.750], [0.250, 0.750, 0.250], [0.750, 0.250, 0.250], [0.750, 0.750, 0.750]]}

=====

## Q
{"formula": "LaZrBe", "functional": "PBE", "state": "optimized geometry", "crystal_system": "tetragonal", "space_group": "I4mm", "n_ef_per_ev_cell": 6.29, "lattice_angstrom": [[3.289, 0.000, 0.000], [0.000, 3.289, 0.000], [0.000, 0.000, 12.504]], "species": ["La", "La", "Zr", "Zr", "Be", "Be"], "frac_coords": [[0.000, 0.000, 0.000], [0.500, 0.500, 0.500], [0.000, 0.000, 0.285], [0.500, 0.500, 0.785], [0.000, 0.000, 0.672], [0.500, 0.500, 0.172]]}

=====

Going by the computed energies, the most stable comes first: Q, P.